# CePuTlCu

A relaxed CePuTlCu crystal (PBE-GGA, Alexandria via LeMat-Bulk).

Cell lengths 5.076, 5.076, 5.076 Å; angles 60.00, 60.00, 60.00 degrees
Site moments in Bohr magnetons follow the coordinates.
Fractional positions:
Tl 0.000 0.000 0.000  0.01
Pu 0.750 0.750 0.750  5.81
Ce 0.500 0.500 0.500  1.29
Cu 0.250 0.250 0.250  0.06

**Mass density**: 11.709 Mg/m³
**Uncorrected energy**: -26.436 eV per cell


# Li8Cd3Pd

A relaxed Li8Cd3Pd crystal (PBE-GGA, Alexandria via LeMat-Bulk).

Cell lengths 7.020, 7.020, 7.020 Å; angles 93.61, 117.94, 117.94 degrees
Fractional positions:
Li 0.257 0.357 0.357
Li 0.474 0.209 0.209
Li 0.000 0.900 0.643
Li 0.000 0.643 0.900
Li 0.000 0.791 0.265
Li 0.526 0.735 0.735
Li 0.743 0.100 0.100
Li 0.000 0.265 0.791
Cd 0.500 0.750 0.250
Cd 0.000 0.500 0.500
Cd 0.500 0.250 0.750
Pd 0.000 0.000 0.000

**Mass density**: 3.293 Mg/m³
**Uncorrected energy**: -23.684 eV per cell


# PmNd5Cu6

A relaxed PmNd5Cu6 crystal (PBE-GGA, Alexandria via LeMat-Bulk).

Cell lengths 5.090, 8.787, 8.787 Å; angles 119.88, 106.90, 106.90 degrees
Fractional positions:
Cu 0.752 0.918 0.587
Cu 0.248 0.413 0.082
Cu 0.255 0.755 0.755
Cu 0.745 0.245 0.245
Cu 0.752 0.587 0.918
Cu 0.248 0.082 0.413
Pm 0.000 0.000 0.000
Nd 0.500 0.500 0.500
Nd 0.500 0.167 0.833
Nd 0.500 0.833 0.167
Nd 0.000 0.334 0.666
Nd 0.000 0.666 0.334

**Mass density**: 7.465 Mg/m³
**Uncorrected energy**: -54.875 eV per cell